Here is an optimized crystal structure of YPt3F from Alexandria via LeMat-Bulk. Energies are from PBE.

a b c (Å): 5.1675 5.1675 5.1675
angles (deg): 90.00 90.00 90.00
Fractional positions:
Y 0.0000 0.0000 0.0000
Pt 0.0000 0.0000 0.5000
Pt 0.0000 0.5000 0.0000
Pt 0.5000 0.0000 0.0000
F 0.5000 0.5000 0.5000

Calculated values
The formation energy without anion corrections is 0.96 eV/atom. The value obtained for the energy above the most stable polymorph in this dataset is 1204 meV per atom. The space group is Pm-3m (221).


Here is an optimized crystal structure of SrTmTl2 from Alexandria via LeMat-Bulk. Energies are from PBE.

a b c (Å): 3.8880 3.8880 7.9335
angles (deg): 90.00 90.00 90.00
Fractional positions:
Sr 0.0000 0.0000 0.0000
Tm 0.0000 0.0000 0.5000
Tl 0.5000 0.5000 0.2762
Tl 0.5000 0.5000 0.7238

Calculated values
For the formation energy, the calculation gives -0.3602 eV per atom. The space group is P4/mmm (123).


Here is an optimized crystal structure of AcZn2Pd3 from Alexandria via LeMat-Bulk. Energies are from PBE.

a b c (Å): 5.6997 5.6997 4.0563
angles (deg): 90.00 90.00 120.00
Fractional positions:
Ac 0.0000 0.0000 0.0000
Zn 0.3333 0.6667 0.0000
Zn 0.6667 0.3333 0.0000
Pd 0.0000 0.5000 0.5000
Pd 0.5000 0.0000 0.5000
Pd 0.5000 0.5000 0.5000

Calculated values
For the formation energy, the calculation gives -0.7131 eV per atom. The value obtained for the energy above the most stable polymorph in this dataset is 0 meV per atom. The space group is P6/mmm (191).


Here is an optimized crystal structure of Cr3HgW from Alexandria via LeMat-Bulk. Energies are from PBE.

a b c (Å): 4.7209 4.7209 4.7209
angles (deg): 90.00 90.00 90.00
Fractional positions:
Cr 0.0000 0.0000 0.5000
Cr 0.0000 0.5000 0.0000
Cr 0.5000 0.0000 0.0000
Hg 0.5000 0.5000 0.5000
W 0.0000 0.0000 0.0000

Calculated values
For the formation energy, the calculation gives 1.4414 eV per atom. The value obtained for the energy above the most stable polymorph in this dataset is 0 meV per atom. The space group is Pm-3m (221).


Here is an optimized crystal structure of EuTeCl from Alexandria via LeMat-Bulk. Energies are from PBE.

a b c (Å): 7.8184 7.8184 7.8184
angles (deg): 153.07 153.07 38.45
Fractional positions:
Eu 0.0000 0.0000 0.0000
Te 0.3515 0.3515 0.0000
Cl 0.6013 0.6013 0.0000

Calculated values
The formation energy without anion corrections is -1.49 eV/atom. The space group is I4mm (107).


Here is an optimized crystal structure of InGaHg2Te4 from Alexandria via LeMat-Bulk. Energies are from PBE.

a b c (Å): 6.7100 6.7141 8.2713
angles (deg): 113.77 113.85 90.04
Fractional positions:
In 0.0000 0.0000 0.0000
Ga 0.7495 0.2492 0.4983
Hg 0.2496 0.7499 0.4999
Hg 0.4991 0.4985 0.9981
Te 0.1159 0.6205 0.7460
Te 0.3783 0.3708 0.2534
Te 0.6286 0.1245 0.7451
Te 0.8732 0.8812 0.2526

Calculated values
The formation energy without anion corrections is -0.14 eV/atom. The space group is P1 (1).


Here is an optimized crystal structure of Zr2TeP from Alexandria via LeMat-Bulk. Energies are from PBE.

a b c (Å): 3.6978 3.6978 6.5473
angles (deg): 90.00 90.00 90.00
Fractional positions:
Zr 0.0000 0.0000 0.0000
Zr 0.5000 0.5000 0.3053
Te 0.5000 0.5000 0.8096
P 0.0000 0.0000 0.4039

Calculated values
The formation energy without anion corrections is -0.96 eV/atom. The value obtained for the energy above the most stable polymorph in this dataset is 191 meV per atom. The space group is P4mm (99).


Here is an optimized crystal structure of SrTcBr2 from Alexandria via LeMat-Bulk. Energies are from PBE.

a b c (Å): 9.1553 9.1553 9.1553
angles (deg): 25.20 25.20 25.20
Fractional positions:
Sr 0.0000 0.0000 0.0000
Tc 0.2365 0.2365 0.2365
Br 0.5390 0.5390 0.5390
Br 0.7394 0.7394 0.7394

Calculated values
The formation energy without anion corrections is -0.27 eV/atom. The value obtained for the energy above the most stable polymorph in this dataset is 76 meV per atom. The space group is R3m (160).


Here is an optimized crystal structure of NaTb4BiS8 from Alexandria via LeMat-Bulk. Energies are from PBE.

a b c (Å): 8.2089 8.2089 8.2089
angles (deg): 59.55 59.55 59.55
Fractional positions:
Na 0.0000 0.0000 0.0000
Tb 0.1205 0.6330 0.6330
Tb 0.2545 0.2545 0.2545
Tb 0.6330 0.1205 0.6330
Tb 0.6330 0.6330 0.1205
Bi 0.6386 0.6386 0.6386
S 0.3804 0.3804 0.8591
S 0.3804 0.8591 0.3804
S 0.3873 0.3873 0.3873
S 0.4102 0.8717 0.8717
S 0.8591 0.3804 0.3804
S 0.8662 0.8662 0.8662
S 0.8717 0.4102 0.8717
S 0.8717 0.8717 0.4102

Calculated values
The formation energy without anion corrections is -1.66 eV/atom. The space group is R3m (160).


Here is an optimized crystal structure of SmHoGe from Alexandria via LeMat-Bulk. Energies are from PBE.

a b c (Å): 5.6205 5.6205 5.6205
angles (deg): 139.31 139.31 58.90
Fractional positions:
Sm 0.0000 0.0000 0.0000
Ho 0.7002 0.7002 0.0000
Ge 0.3395 0.3395 0.0000

Calculated values
For the formation energy, the calculation gives -0.4011 eV per atom. The value obtained for the energy above the most stable polymorph in this dataset is 203 meV per atom. The space group is I4mm (107).


Here is an optimized crystal structure of CeScTlAg from Alexandria via LeMat-Bulk. Energies are from PBE.

a b c (Å): 5.2199 5.2199 5.2199
angles (deg): 60.00 60.00 60.00
Fractional positions:
Ce 0.0000 0.0000 0.0000
Sc 0.5000 0.5000 0.5000
Tl 0.2500 0.2500 0.2500
Ag 0.7500 0.7500 0.7500

Calculated values
For the formation energy, the calculation gives -0.1772 eV per atom. The space group is F-43m (216).


Here is an optimized crystal structure of ZrPbIN2 from Alexandria via LeMat-Bulk. Energies are from PBE.

a b c (Å): 4.4623 4.4623 5.7310
angles (deg): 90.00 90.00 90.00
Fractional positions:
Zr 0.0000 0.0000 0.0000
Pb 0.5000 0.5000 0.5000
I 0.5000 0.5000 0.0000
N 0.0000 0.5000 0.5000
N 0.5000 0.0000 0.5000

Calculated values
The formation energy without anion corrections is 1.68 eV/atom. The value obtained for the energy above the most stable polymorph in this dataset is 1349 meV per atom. The space group is P4/mmm (123).


Here is an optimized crystal structure of TaOsSe2 from Alexandria via LeMat-Bulk. Energies are from PBE.

a b c (Å): 9.6150 9.6150 9.6150
angles (deg): 18.93 18.93 18.93
Fractional positions:
Ta 0.0000 0.0000 0.0000
Os 0.2530 0.2530 0.2530
Se 0.5274 0.5274 0.5274
Se 0.7305 0.7305 0.7305

Calculated values
The formation energy without anion corrections is -0.09 eV/atom. The value obtained for the energy above the most stable polymorph in this dataset is 73 meV per atom. The space group is R3m (160).


Here is an optimized crystal structure of Pr15Y2In2 from Alexandria via LeMat-Bulk. Energies are from PBE.

a b c (Å): 8.8711 8.8711 8.8711
angles (deg): 77.92 77.92 77.92
Fractional positions:
Pr 0.0000 0.0000 0.5000
Pr 0.0000 0.2898 0.7102
Pr 0.0000 0.5000 0.0000
Pr 0.0000 0.7102 0.2898
Pr 0.1660 0.6094 0.6094
Pr 0.2898 0.0000 0.7102
Pr 0.2898 0.7102 0.0000
Pr 0.3906 0.3906 0.8340
Pr 0.3906 0.8340 0.3906
Pr 0.5000 0.0000 0.0000
Pr 0.6094 0.1660 0.6094
Pr 0.6094 0.6094 0.1660
Pr 0.7102 0.0000 0.2898
Pr 0.7102 0.2898 0.0000
Pr 0.8340 0.3906 0.3906
Y 0.3012 0.3012 0.3012
Y 0.6988 0.6988 0.6988
In 0.0958 0.0958 0.0958
In 0.9042 0.9042 0.9042

Calculated values
For the formation energy, the calculation gives 0.1270 eV per atom. The space group is R-3m (166).


Here is an optimized crystal structure of SrZn2Fe from Alexandria via LeMat-Bulk. Energies are from PBE.

a b c (Å): 3.4222 3.7760 6.6710
angles (deg): 90.00 90.10 90.00
Fractional positions:
Sr 0.0000 0.0000 0.0000
Zn 0.5009 0.5000 0.3049
Zn 0.5018 0.0000 0.5771
Fe 0.0021 0.5000 0.5915

Calculated values
For the formation energy, the calculation gives 0.2197 eV per atom. The space group is Pm (6).


Here is an optimized crystal structure of Li2TaPt9 from Alexandria via LeMat-Bulk. Energies are from PBE.

a b c (Å): 3.9342 3.9342 11.7038
angles (deg): 90.00 90.00 90.00
Fractional positions:
Li 0.0000 0.0000 0.1595
Li 0.0000 0.0000 0.8405
Ta 0.0000 0.0000 0.5000
Pt 0.0000 0.5000 0.0000
Pt 0.0000 0.5000 0.3313
Pt 0.0000 0.5000 0.6687
Pt 0.5000 0.0000 0.0000
Pt 0.5000 0.0000 0.3313
Pt 0.5000 0.0000 0.6687
Pt 0.5000 0.5000 0.1650
Pt 0.5000 0.5000 0.5000
Pt 0.5000 0.5000 0.8350

Calculated values
For the formation energy, the calculation gives -0.5352 eV per atom. The space group is P4/mmm (123).


Here is an optimized crystal structure of RbBa2Tl from Alexandria via LeMat-Bulk. Energies are from PBE.

a b c (Å): 13.3662 13.3662 13.3662
angles (deg): 19.90 19.90 19.90
Fractional positions:
Rb 0.0000 0.0000 0.0000
Ba 0.5599 0.5599 0.5599
Ba 0.7726 0.7726 0.7726
Tl 0.1663 0.1663 0.1663

Calculated values
For the formation energy, the calculation gives -0.1060 eV per atom. The value obtained for the energy above the most stable polymorph in this dataset is 96 meV per atom. The space group is R3m (160).


Here is an optimized crystal structure of SrAcLuIn from Alexandria via LeMat-Bulk. Energies are from PBE.

a b c (Å): 5.8261 5.8261 5.8261
angles (deg): 60.00 60.00 60.00
Fractional positions:
Sr 0.0000 0.0000 0.0000
Ac 0.7500 0.7500 0.7500
Lu 0.5000 0.5000 0.5000
In 0.2500 0.2500 0.2500

Calculated values
For the formation energy, the calculation gives 0.0768 eV per atom. The space group is F-43m (216).


Here is an optimized crystal structure of FeI4Br from Alexandria via LeMat-Bulk. Energies are from PBE.

a b c (Å): 10.1473 10.1473 8.6328
angles (deg): 104.23 104.23 44.25
Fractional positions:
Fe 0.0900 0.0900 0.1992
Fe 0.9100 0.9100 0.8008
I 0.1262 0.6352 0.5969
I 0.2027 0.2027 0.0804
I 0.2261 0.7739 0.0000
I 0.3648 0.8738 0.4031
I 0.6352 0.1262 0.5969
I 0.7739 0.2261 0.0000
I 0.7973 0.7973 0.9196
I 0.8738 0.3648 0.4031
Br 0.1692 0.1692 0.7599
Br 0.8308 0.8308 0.2401

Calculated values
The formation energy without anion corrections is -0.02 eV/atom. The space group is C2/m (12).


Here is an optimized crystal structure of BeCd2Si from Alexandria via LeMat-Bulk. Energies are from PBE.

a b c (Å): 3.1943 4.4547 5.1715
angles (deg): 90.00 90.00 90.00
Fractional positions:
Be 0.0000 0.0000 0.0000
Cd 0.0000 0.5000 0.5000
Cd 0.5000 0.5000 0.0000
Si 0.5000 0.0000 0.5000

Calculated values
The formation energy without anion corrections is 0.63 eV/atom. The value obtained for the energy above the most stable polymorph in this dataset is 345 meV per atom. The space group is Pmmm (47).


Here is an optimized crystal structure of Tb11Cd9Rh4 from Alexandria via LeMat-Bulk. Energies are from PBE.

a b c (Å): 13.0745 13.0745 3.7015
angles (deg): 90.00 90.00 112.74
Fractional positions:
Tb 0.0000 0.0000 0.0000
Tb 0.0817 0.4161 0.0000
Tb 0.1619 0.8381 0.0000
Tb 0.3052 0.3052 0.0000
Tb 0.3711 0.6289 0.0000
Tb 0.4161 0.0817 0.0000
Tb 0.5839 0.9183 0.0000
Tb 0.6289 0.3711 0.0000
Tb 0.6948 0.6948 0.0000
Tb 0.8381 0.1619 0.0000
Tb 0.9183 0.5839 0.0000
Cd 0.0699 0.2142 0.5000
Cd 0.1545 0.6338 0.5000
Cd 0.2142 0.0699 0.5000
Cd 0.3662 0.8455 0.5000
Cd 0.5000 0.5000 0.5000
Cd 0.6338 0.1545 0.5000
Cd 0.7858 0.9301 0.5000
Cd 0.8455 0.3662 0.5000
Cd 0.9301 0.7858 0.5000
Rh 0.2526 0.4518 0.5000
Rh 0.4518 0.2526 0.5000
Rh 0.5482 0.7474 0.5000
Rh 0.7474 0.5482 0.5000

Calculated values
For the formation energy, the calculation gives -0.5323 eV per atom. The space group is Cmmm (65).


Here is an optimized crystal structure of CeSm6Y3Tm2 from Alexandria via LeMat-Bulk. Energies are from PBE.

a b c (Å): 6.2173 6.2173 11.8536
angles (deg): 95.02 95.02 120.00
Fractional positions:
Ce 0.0000 0.0000 0.0000
Sm 0.0824 0.4141 0.2480
Sm 0.2492 0.2492 0.7520
Sm 0.4141 0.0824 0.2480
Sm 0.5859 0.9176 0.7520
Sm 0.7508 0.7508 0.2480
Sm 0.9176 0.5859 0.7520
Y 0.1673 0.8327 0.5000
Y 0.5000 0.5000 0.5000
Y 0.8327 0.1673 0.5000
Tm 0.3335 0.6665 0.0000
Tm 0.6665 0.3335 0.0000

Calculated values
For the formation energy, the calculation gives 0.0379 eV per atom. The space group is C2/m (12).


Here is an optimized crystal structure of AgPt2 from Alexandria via LeMat-Bulk. Energies are from PBE.

a b c (Å): 6.3444 6.3444 4.9597
angles (deg): 98.22 98.22 84.41
Fractional positions:
Ag 0.1690 0.8310 0.0000
Ag 0.2500 0.2500 0.2406
Ag 0.7500 0.7500 0.7594
Ag 0.8310 0.1690 0.0000
Pt 0.0000 0.0000 0.5000
Pt 0.0869 0.4122 0.7400
Pt 0.3326 0.6674 0.5000
Pt 0.4122 0.0869 0.7400
Pt 0.5000 0.5000 0.0000
Pt 0.5878 0.9131 0.2600
Pt 0.6674 0.3326 0.5000
Pt 0.9131 0.5878 0.2600

Calculated values
For the formation energy, the calculation gives 0.0472 eV per atom. The value obtained for the energy above the most stable polymorph in this dataset is 55 meV per atom. The space group is C2/m (12).


Here is an optimized crystal structure of Sm7Al4In from Alexandria via LeMat-Bulk. Energies are from PBE.

a b c (Å): 7.6124 7.6124 9.2953
angles (deg): 115.97 115.97 45.08
Fractional positions:
Sm 0.0000 0.0000 0.0000
Sm 0.2394 0.2394 0.7058
Sm 0.3129 0.3129 0.1304
Sm 0.4207 0.4207 0.5885
Sm 0.5793 0.5793 0.4115
Sm 0.6871 0.6871 0.8696
Sm 0.7606 0.7606 0.2942
Al 0.0157 0.0157 0.6606
Al 0.1777 0.1777 0.3389
Al 0.8223 0.8223 0.6611
Al 0.9843 0.9843 0.3394
In 0.5000 0.5000 0.0000

Calculated values
For the formation energy, the calculation gives -0.1555 eV per atom. The space group is C2/m (12).


Here is an optimized crystal structure of HfGeBr6 from Alexandria via LeMat-Bulk. Energies are from PBE.

a b c (Å): 7.4357 7.4357 6.7601
angles (deg): 98.00 98.00 125.97
Fractional positions:
Hf 0.0000 0.0000 0.0000
Ge 0.5000 0.5000 0.5000
Br 0.0961 0.3752 0.2363
Br 0.2395 0.2395 0.7622
Br 0.3752 0.0961 0.2363
Br 0.6248 0.9039 0.7637
Br 0.7605 0.7605 0.2378
Br 0.9039 0.6248 0.7637

Calculated values
The formation energy without anion corrections is -1.05 eV/atom. The space group is C2/m (12).